The following is a DFT calculation (GGA-PBEsol) of crystalline CuAuO2 at its relaxed geometry.

Cell: 5.7367 2.8083 6.1109 Å, 90.00 99.79 90.00°
With the nearest neighbours (Å) after each atom.
Space group C2/m (No. 12)
Asymmetric unit:
Cu1 0.0000 0.0000 0.0000 x2  4 O 1.88
Au1 0.0000 0.5000 0.5000 x2  2 O 1.99
O1 0.0923 0.5000 0.8294 x4  2 Cu 1.88, 1 Au 1.99

Values from the calculation:
DOS(E_F): 0.5927 states/eV per atom
Energy: -5.036 eV per atom